Record 1
Compound: TiZnO3
Source: the Alexandria database
Functional: PBE
Structure: relaxed

The structure in CIF format:
```
data_TiZnO3
_chemical_formula_sum 'Ti6 Zn6 O18'
_cell_length_a 5.1424
_cell_length_b 5.1424
_cell_length_c 13.9548
_cell_angle_alpha 90.00
_cell_angle_beta 90.00
_cell_angle_gamma 120.00
_symmetry_space_group_name_H-M 'R 3 c'
_symmetry_Int_Tables_number 161
_symmetry_space_group_name_Hall 'R 3 -2"c'
loop_
_atom_site_label
_atom_site_type_symbol
_atom_site_fract_x
_atom_site_fract_y
_atom_site_fract_z
_atom_site_occupancy
Ti1 Ti 0.0000 0.0000 0.0000 1
Zn1 Zn 0.0000 0.0000 0.2792 1
O1 O 0.0438 0.3422 0.0618 1
```

Output
Formation energy (no corrections): -2.34 eV/atom
Calculated total energy: -7.152 eV/atom
Magnetization: 0.0 μB/f.u.

Record 2
Compound: TiZn3O
Source: the Alexandria database
Functional: PBE
Structure: relaxed

The structure in CIF format:
```
data_TiZn3O
_chemical_formula_sum 'Ti1 Zn3 O1'
_cell_length_a 4.238
_cell_length_b 4.238
_cell_length_c 4.238
_cell_angle_alpha 90.00
_cell_angle_beta 90.00
_cell_angle_gamma 90.00
_symmetry_space_group_name_H-M 'P m -3 m'
_symmetry_Int_Tables_number 221
_symmetry_space_group_name_Hall '-P 4 2 3'
loop_
_atom_site_label
_atom_site_type_symbol
_atom_site_fract_x
_atom_site_fract_y
_atom_site_fract_z
_atom_site_occupancy
Ti1 Ti 0.000 0.000 0.000 1
Zn1 Zn 0.000 0.500 0.500 1
O1 O 0.500 0.500 0.500 1
```

Output
Formation energy (no corrections): 0.05 eV/atom
Energy relative to the lowest polymorph listed for this composition: 0.00 kcal/mol of atoms
Calculated total energy: -3.289 eV/atom
Magnetization: 2.0 μB/f.u.

Record 3
Compound: Ti2Zn2O5
Source: the Alexandria database
Functional: PBE
Structure: relaxed

The structure in CIF format:
```
data_Ti2Zn2O5
_chemical_formula_sum 'Ti4 Zn4 O10'
_cell_length_a 5.538
_cell_length_b 11.004
_cell_length_c 3.522
_cell_angle_alpha 90.00
_cell_angle_beta 90.00
_cell_angle_gamma 90.00
_symmetry_space_group_name_H-M 'P b a m'
_symmetry_Int_Tables_number 55
_symmetry_space_group_name_Hall '-P 2 2ab'
loop_
_atom_site_label
_atom_site_type_symbol
_atom_site_fract_x
_atom_site_fract_y
_atom_site_fract_z
_atom_site_occupancy
Ti1 Ti 0.210 0.137 0.000 1
Zn1 Zn 0.211 0.391 0.500 1
O1 O 0.000 0.000 0.000 1
O2 O 0.080 0.293 0.000 1
O3 O 0.177 0.583 0.500 1
```

Output
Formation energy (no corrections): -2.00 eV/atom
Calculated total energy: -6.791 eV/atom
Magnetization: 0.0 μB/f.u.

Record 4
Compound: Ti9Zn2O13
Source: the Alexandria database
Functional: PBE
Structure: relaxed

The structure in CIF format:
```
data_Ti9Zn2O13
_chemical_formula_sum 'Ti18 Zn4 O26'
_cell_length_a 9.908
_cell_length_b 2.950
_cell_length_c 16.719
_cell_angle_alpha 90.00
_cell_angle_beta 99.91
_cell_angle_gamma 90.00
_symmetry_space_group_name_H-M 'C 1 2/m 1'
_symmetry_Int_Tables_number 12
_symmetry_space_group_name_Hall '-C 2y'
loop_
_atom_site_label
_atom_site_type_symbol
_atom_site_fract_x
_atom_site_fract_y
_atom_site_fract_z
_atom_site_occupancy
Ti1 Ti 0.000 0.000 0.000 1
Ti2 Ti 0.001 0.500 0.161 1
Ti3 Ti 0.066 0.500 0.382 1
Ti4 Ti 0.157 0.000 0.537 1
Ti5 Ti 0.224 0.500 0.079 1
Zn1 Zn 0.221 0.500 0.727 1
O1 O 0.000 0.500 0.500 1
O2 O 0.084 0.000 0.646 1
O3 O 0.120 0.000 0.126 1
O4 O 0.124 0.500 0.271 1
O5 O 0.134 0.000 0.813 1
O6 O 0.138 0.500 0.953 1
O7 O 0.211 0.000 0.413 1
```

Output
Formation energy (no corrections): -2.37 eV/atom
Calculated total energy: -8.120 eV/atom
Magnetization: 0.0 μB/f.u.

Record 5
Compound: TiZn2O4
Source: the Alexandria database
Functional: PBE
Structure: relaxed

The structure in CIF format:
```
data_TiZn2O4
_chemical_formula_sum 'Ti16 Zn32 O64'
_cell_length_a 16.972
_cell_length_b 12.163
_cell_length_c 6.089
_cell_angle_alpha 90.00
_cell_angle_beta 90.12
_cell_angle_gamma 90.00
_symmetry_space_group_name_H-M 'C 1 2 1'
_symmetry_Int_Tables_number 5
_symmetry_space_group_name_Hall 'C 2y'
loop_
_atom_site_label
_atom_site_type_symbol
_atom_site_fract_x
_atom_site_fract_y
_atom_site_fract_z
_atom_site_occupancy
Ti1 Ti 0.000 0.000 0.000 1
Ti2 Ti 0.000 0.500 0.500 1
Ti3 Ti 0.124 0.133 0.750 1
Ti4 Ti 0.126 0.629 0.761 1
Ti5 Ti 0.247 0.761 0.495 1
Zn1 Zn 0.000 0.003 0.500 1
Zn2 Zn 0.000 0.503 0.000 1
Zn3 Zn 0.062 0.754 0.245 1
Zn4 Zn 0.063 0.255 0.245 1
Zn5 Zn 0.125 0.381 0.757 1
Zn6 Zn 0.125 0.882 0.750 1
Zn7 Zn 0.186 0.008 0.262 1
Zn8 Zn 0.188 0.507 0.255 1
Zn9 Zn 0.249 0.259 0.004 1
O1 O 0.000 0.394 0.266 1
O2 O 0.001 0.894 0.231 1
O3 O 0.009 0.124 0.765 1
O4 O 0.009 0.624 0.734 1
O5 O 0.116 0.513 0.515 1
O6 O 0.118 0.016 0.990 1
O7 O 0.121 0.011 0.533 1
O8 O 0.126 0.515 0.976 1
O9 O 0.126 0.749 0.968 1
O10 O 0.127 0.250 0.973 1
O11 O 0.132 0.245 0.515 1
O12 O 0.133 0.747 0.508 1
O13 O 0.241 0.139 0.740 1
O14 O 0.241 0.637 0.728 1
O15 O 0.249 0.367 0.270 1
O16 O 0.250 0.369 0.734 1
```

Output
Formation energy (no corrections): -2.09 eV/atom
Energy relative to the lowest polymorph listed for this composition: 0.08 kcal/mol of atoms
Calculated total energy: -6.415 eV/atom
Magnetization: 0.0 μB/f.u.

Record 6
Compound: TiZnO3
Source: the Alexandria database
Functional: PBE
Structure: relaxed

The structure in CIF format:
```
data_TiZnO3
_chemical_formula_sum 'Ti6 Zn6 O18'
_cell_length_a 5.1284
_cell_length_b 5.1284
_cell_length_c 14.0819
_cell_angle_alpha 90.00
_cell_angle_beta 90.00
_cell_angle_gamma 120.00
_symmetry_space_group_name_H-M 'R -3'
_symmetry_Int_Tables_number 148
_symmetry_space_group_name_Hall '-R 3'
loop_
_atom_site_label
_atom_site_type_symbol
_atom_site_fract_x
_atom_site_fract_y
_atom_site_fract_z
_atom_site_occupancy
Ti1 Ti 0.0000 0.0000 0.1456 1
Zn1 Zn 0.0000 0.0000 0.3607 1
O1 O 0.0155 0.3707 0.4212 1
```

Output
Formation energy (no corrections): -2.37 eV/atom
Calculated total energy: -7.179 eV/atom
Magnetization: 0.0 μB/f.u.

Record 7
Compound: TiZnO3
Source: the Alexandria database
Functional: PBE
Structure: relaxed

The structure in CIF format:
```
data_TiZnO3
_chemical_formula_sum 'Ti4 Zn4 O12'
_cell_length_a 3.050
_cell_length_b 13.902
_cell_length_c 5.179
_cell_angle_alpha 90.00
_cell_angle_beta 90.00
_cell_angle_gamma 90.00
_symmetry_space_group_name_H-M 'C m c 21'
_symmetry_Int_Tables_number 36
_symmetry_space_group_name_Hall 'C 2c -2'
loop_
_atom_site_label
_atom_site_type_symbol
_atom_site_fract_x
_atom_site_fract_y
_atom_site_fract_z
_atom_site_occupancy
Ti1 Ti 0.000 0.173 0.000 1
Zn1 Zn 0.000 0.454 0.021 1
O1 O 0.000 0.083 0.738 1
O2 O 0.000 0.255 0.365 1
O3 O 0.000 0.405 0.671 1
```

Output
Formation energy (no corrections): -2.31 eV/atom
Calculated total energy: -7.122 eV/atom
Magnetization: 0.0 μB/f.u.

Record 8
Compound: TiZn2O4
Source: the Alexandria database
Functional: PBE
Structure: relaxed

The structure in CIF format:
```
data_TiZn2O4
_chemical_formula_sum 'Ti4 Zn8 O16'
_cell_length_a 6.018
_cell_length_b 6.018
_cell_length_c 12.862
_cell_angle_alpha 90.00
_cell_angle_beta 90.00
_cell_angle_gamma 90.00
_symmetry_space_group_name_H-M 'P 43 2 2'
_symmetry_Int_Tables_number 95
_symmetry_space_group_name_Hall 'P 4cw 2c'
loop_
_atom_site_label
_atom_site_type_symbol
_atom_site_fract_x
_atom_site_fract_y
_atom_site_fract_z
_atom_site_occupancy
Ti1 Ti 0.000 0.361 0.000 1
Zn1 Zn 0.046 0.500 0.250 1
Zn2 Zn 0.115 0.115 0.625 1
O1 O 0.069 0.441 0.605 1
O2 O 0.131 0.202 0.244 1
```

Output
Formation energy (no corrections): -1.83 eV/atom
Energy relative to the lowest polymorph listed for this composition: 5.97 kcal/mol of atoms
Calculated total energy: -6.159 eV/atom
Magnetization: 0.0 μB/f.u.